No. 1
Crystalline RbLiIn2Br6 at its relaxed geometry. Source: Alexandria via LeMat-Bulk, functional GGA-PBE.

Summary:
**Formation energy without anion corrections**: -10.96 eV/f.u.
**E_tot**: -2.935 eV/atom

CIF file:
```
data_RbLiIn2Br6
_space_group_name_H-M_alt 'P 1'
_space_group_IT_number 1
_cell_length_a 7.534
_cell_length_b 7.740
_cell_length_c 8.186
_cell_angle_alpha 64.73
_cell_angle_beta 64.70
_cell_angle_gamma 65.68
loop_
_space_group_symop_operation_xyz
'x,y,z'
loop_
_atom_site_label
_atom_site_fract_x
_atom_site_fract_y
_atom_site_fract_z
Rb1 0.000 0.000 0.000
Li1 0.267 0.628 0.619
In1 0.283 0.276 0.200
In2 0.767 0.785 0.677
Br1 0.050 0.994 0.573
Br2 0.095 0.602 0.411
Br3 0.512 0.952 0.952
Br4 0.555 0.535 0.758
Br5 0.612 0.077 0.406
Br6 0.985 0.501 0.926
```

No. 2
Crystalline Pr3RhSeBr at its relaxed geometry. Source: Alexandria via LeMat-Bulk, functional GGA-PBE.

Summary:
**Formation energy without anion corrections**: -6.09 eV/f.u.
**Fermi-level density of states**: 9.7 states/eV per cell
**E_tot**: -5.490 eV/atom

CIF file:
```
data_Pr3RhSeBr
_space_group_name_H-M_alt 'P 1 21/m 1'
_space_group_IT_number 11
_cell_length_a 8.626
_cell_length_b 4.102
_cell_length_c 9.964
_cell_angle_alpha 90.00
_cell_angle_beta 105.46
_cell_angle_gamma 90.00
loop_
_space_group_symop_operation_xyz
'x,y,z'
'-x,-y,-z'
'-x,y+1/2,-z'
'x,-y+1/2,z'
loop_
_atom_site_label
_atom_site_fract_x
_atom_site_fract_y
_atom_site_fract_z
Pr1 0.054 0.250 0.352
Pr2 0.210 0.250 0.015
Pr3 0.393 0.750 0.600
Rh1 0.183 0.250 0.651
Se1 0.305 0.750 0.267
Br1 0.382 0.750 0.891
```

No. 3
Crystalline Cs2Ba2ReO6 at its relaxed geometry. Source: Alexandria via LeMat-Bulk, functional GGA-PBE.

Summary:
**Formation energy without anion corrections**: -21.28 eV/f.u.
**Fermi-level density of states**: 11.5 states/eV per cell
**E_tot**: -6.276 eV/atom

CIF file:
```
data_Cs2Ba2ReO6
_space_group_name_H-M_alt 'C 1 2/m 1'
_space_group_IT_number 12
_cell_length_a 6.555
_cell_length_b 10.973
_cell_length_c 7.113
_cell_angle_alpha 90.00
_cell_angle_beta 103.61
_cell_angle_gamma 90.00
loop_
_space_group_symop_operation_xyz
'x,y,z'
'-x,-y,-z'
'-x,y,-z'
'x,-y,z'
'x+1/2,y+1/2,z'
'-x+1/2,-y+1/2,-z'
'-x+1/2,y+1/2,-z'
'x+1/2,-y+1/2,z'
loop_
_atom_site_label
_atom_site_fract_x
_atom_site_fract_y
_atom_site_fract_z
Cs1 0.000 0.163 0.000
Ba1 0.000 0.337 0.500
Re1 0.000 0.000 0.500
O1 0.171 0.129 0.656
O2 0.195 0.000 0.329
```

No. 4
Crystalline BaNiPS2 at its relaxed geometry. Source: Alexandria via LeMat-Bulk, functional GGA-PBE.

Summary:
**Formation energy without anion corrections**: -3.03 eV/f.u.
**Fermi-level density of states**: 1.8 states/eV per cell
**E_tot**: -4.879 eV/atom

CIF file:
```
data_BaNiPS2
_space_group_name_H-M_alt 'P 4/m m m'
_space_group_IT_number 123
_space_group_name_Hall '-P 4 2'
_cell_length_a 5.001
_cell_length_b 5.001
_cell_length_c 4.227
_cell_angle_alpha 90.00
_cell_angle_beta 90.00
_cell_angle_gamma 90.00
loop_
_atom_site_label
_atom_site_fract_x
_atom_site_fract_y
_atom_site_fract_z
Ba1 0.000 0.000 0.000
Ni1 0.500 0.500 0.500
P1 0.500 0.500 0.000
S1 0.000 0.500 0.500
```

No. 5
Crystalline Nd4BCBr2 at its relaxed geometry. Source: Alexandria via LeMat-Bulk, functional GGA-PBE.

Summary:
**Formation energy without anion corrections**: -6.39 eV/f.u.
**Fermi-level density of states**: 3.6 states/eV per cell
**E_tot**: -5.588 eV/atom

CIF file:
```
data_Nd4BCBr2
_space_group_name_H-M_alt 'P 1 2/m 1'
_space_group_IT_number 10
_cell_length_a 6.787
_cell_length_b 3.919
_cell_length_c 7.751
_cell_angle_alpha 90.00
_cell_angle_beta 107.08
_cell_angle_gamma 90.00
loop_
_space_group_symop_operation_xyz
'x,y,z'
'-x,-y,-z'
'-x,y,-z'
'x,-y,z'
loop_
_atom_site_label
_atom_site_fract_x
_atom_site_fract_y
_atom_site_fract_z
Nd1 0.223 0.000 0.185
Nd2 0.264 0.500 0.809
B1 0.500 0.000 0.000
C1 0.000 0.500 0.000
Br1 0.000 0.000 0.500
Br2 0.500 0.500 0.500
```

No. 6
Crystalline NaTb2PrTe4 at its relaxed geometry. Source: Alexandria via LeMat-Bulk, functional GGA-PBE.

Summary:
**Formation energy without anion corrections**: -10.82 eV/f.u.
**Fermi-level density of states**: 3.0 states/eV per cell
**E_tot**: -4.843 eV/atom

CIF file:
```
data_NaTb2PrTe4
_space_group_name_H-M_alt 'P 1 2/m 1'
_space_group_IT_number 10
_cell_length_a 7.728
_cell_length_b 4.407
_cell_length_c 7.763
_cell_angle_alpha 90.00
_cell_angle_beta 108.86
_cell_angle_gamma 90.00
loop_
_space_group_symop_operation_xyz
'x,y,z'
'-x,-y,-z'
'-x,y,-z'
'x,-y,z'
loop_
_atom_site_label
_atom_site_fract_x
_atom_site_fract_y
_atom_site_fract_z
Na1 0.000 0.000 0.000
Tb1 0.000 0.500 0.500
Tb2 0.500 0.000 0.500
Pr1 0.500 0.500 0.000
Te1 0.243 0.000 0.741
Te2 0.251 0.500 0.259
```